First-principles (meta-GGA SCAN) data for a crystal of Na3Li3Fe2F12 relaxed with PBEsol, as listed in Alexandria.

Output
- Formation energy (no corrections): -2766 meV per atom
- SG: No. 230

```
Na3Li3Fe2F12
1.0
-0.136 8.499 6.205
-9.826 -3.517 -1.348
5.835 -7.523 4.483
F Na Li Fe
48 12 12 8
Cartesian
-0.063 -4.499 5.384
-5.405 -4.019 3.905
-8.497 -0.474 1.528
-3.505 -1.058 5.827
-7.042 2.893 6.287
-5.268 1.064 6.573
-0.623 -1.484 3.513
-0.896 -1.695 6.054
-3.510 -1.530 0.525
-2.926 -5.319 6.156
1.277 1.477 5.435
-7.501 0.518 5.438
-4.280 -6.841 4.392
-0.063 6.718 6.736
-2.395 1.140 7.673
-6.270 -2.218 5.513
-6.192 1.126 2.790
-1.266 0.430 1.293
1.377 0.596 8.916
-6.012 3.573 3.536
-3.232 -0.847 3.286
2.142 -0.323 3.827
1.884 -6.115 5.804
-0.618 -1.011 8.815
1.975 -0.819 6.337
3.373 -3.060 3.903
-3.804 -5.183 1.844
-4.065 -9.260 2.604
-2.862 -2.972 8.048
-8.530 -3.000 -0.118
-5.505 -3.138 0.425
1.140 -3.606 2.767
2.064 -3.668 6.550
4.369 -2.068 7.813
-1.733 -3.682 1.668
-2.460 3.217 5.957
-1.202 2.777 3.184
0.152 4.299 4.949
2.914 -5.435 3.053
-1.519 0.495 4.875
-6.103 -1.722 3.003
-4.065 1.957 3.957
-3.988 5.477 4.672
4.403 0.458 9.458
-0.140 -8.018 4.668
-1.668 -5.759 3.383
-2.609 -3.037 4.465
-0.324 2.641 7.496
-0.140 0.353 6.950
-7.971 2.356 4.035
-5.267 -0.147 4.548
-2.281 -8.158 3.688
1.139 -2.394 4.792
-4.307 -3.408 6.061
-3.987 -2.895 2.390
0.674 -5.899 3.633
-1.846 5.617 5.653
-4.802 3.357 5.708
0.179 0.867 3.279
3.843 -4.898 5.306
-7.156 -3.896 0.717
-3.842 0.096 7.220
3.029 1.354 8.623
-2.311 2.112 4.493
-4.985 -5.655 3.174
-1.138 -2.407 7.734
0.858 3.113 6.166
-0.286 -2.638 2.120
2.564 -2.151 7.464
-6.691 -0.391 1.876
-1.817 -4.654 4.847
-2.990 -0.135 1.606
2.849 0.488 5.344
-1.996 -5.520 1.568
-4.981 2.491 2.429
-0.068 4.249 3.102
2.917 -3.762 2.242
-2.064 -1.271 4.670
0.000 0.000 0.000
-4.913 -1.759 -0.674
```


First-principles (meta-GGA SCAN) data for a crystal of Ga2Ru relaxed with PBEsol, as listed in Alexandria.

Output
- Raw total energy: -22.9761 eV per atom
- SG: No. 70

```
Ga2Ru
1.0
4.706 0.000 0.000
2.353 4.062 0.000
2.353 0.000 4.333
Ru Ga
2 4
Cartesian
2.353 0.000 0.000
3.529 2.031 2.167
2.353 2.687 0.000
4.706 1.375 0.000
5.882 3.406 2.167
5.882 0.656 2.167
```


First-principles (meta-GGA SCAN) data for a crystal of Sc4Rh relaxed with PBEsol, as listed in Alexandria.

Output
- Raw total energy: -18.5997 eV per atom
- SG: No. 87

```
Sc4Rh
1.0
3.295 0.000 0.000
1.648 5.581 0.000
1.648 0.000 5.581
Sc Rh
4 1
Cartesian
3.295 3.638 1.023
3.295 1.943 4.558
1.648 1.023 1.943
4.943 4.558 3.638
0.000 0.000 0.000
```


The records above yield theoretical density values of 3180 9644 4574 kg/m3, respectively.